# 1
First-principles (GGA-PBEsol) data for crystalline Ga2AgIr at its relaxed geometry, as listed in Alexandria via LeMat-Bulk.

Unit cell a=4.3757 b=4.3757 c=4.3757 alpha=60.00 beta=60.00 gamma=60.00
Closest atoms and distances in Å follow each position.
Positions (direct):
Ir 0.5000 0.5000 0.5000  8 Ga 2.68
Ga 0.2500 0.2500 0.2500  4 Ir 2.68, 4 Ag 2.68
Ga 0.7500 0.7500 0.7500  4 Ir 2.68, 4 Ag 2.68
Ag 0.0000 0.0000 0.0000  8 Ga 2.68

Computed properties:
* energy of formation: -0.13 eV per atom

=====

# 2
First-principles (GGA-PBEsol) data for crystalline Ca2ZnAu at its relaxed geometry, as listed in Alexandria via LeMat-Bulk.

Unit cell a=4.1019 b=4.3921 c=5.8710 alpha=90.00 beta=110.45 gamma=90.00
Closest atoms and distances in Å follow each position.
Positions (direct):
Zn 0.8141 0.0000 0.6281  2 Au 2.65
Au 0.6791 0.5000 0.3581  2 Zn 2.65
Ca 0.1035 0.0000 0.2070  3 Zn 3.09-3.18, 4 Au 3.12
Ca 0.3918 0.5000 0.7836  3 Au 3.11-3.16, 4 Zn 3.12

Computed properties:
* energy of formation: -0.52 eV per atom

=====

# 3
First-principles (GGA-PBEsol) data for crystalline YMnNi2 at its relaxed geometry, as listed in Alexandria via LeMat-Bulk.

Unit cell a=3.2520 b=3.2520 c=5.7618 alpha=90.00 beta=90.00 gamma=90.00
Closest atoms and distances in Å follow each position.
Positions (direct):
Mn 0.5000 0.5000 0.8226  5 Ni 2.30-2.47
Ni 0.0000 0.0000 0.9808  4 Mn 2.47, 4 Ni 2.68
Ni 0.5000 0.5000 0.2211  1 Mn 2.30
Y 0.0000 0.0000 0.4755  6 Ni 2.73-2.91, 4 Mn 3.05

Computed properties:
* energy of formation: 0.10 eV per atom

=====

# 4
First-principles (GGA-PBEsol) data for crystalline PICl8 at its relaxed geometry, as listed in Alexandria via LeMat-Bulk.

Unit cell a=11.8884 b=11.8884 c=11.8884 alpha=93.67 beta=117.06 gamma=118.76
Closest atoms and distances in Å follow each position.
Positions (direct):
Cl 0.9495 0.8537 0.9042  1 I 2.51
Cl 0.9495 0.5453 0.5958  1 I 2.51
Cl 0.0505 0.4547 0.4042  1 I 2.51
Cl 0.0505 0.1463 0.0958  1 I 2.51
Cl 0.7495 0.7005 0.5490  1 I 2.50
Cl 0.1515 0.7005 0.9510  1 I 2.50
Cl 0.2505 0.2995 0.4510  1 I 2.50
Cl 0.8485 0.2995 0.0490  1 I 2.50
Cl 0.4339 0.0296 0.5957  1 I 2.51
Cl 0.4339 0.3382 0.9043  1 I 2.51
Cl 0.5661 0.6618 0.0957  1 I 2.51
Cl 0.5661 0.9704 0.4043  1 I 2.51
Cl 0.6419 0.3919 0.7500  1 I 2.56
Cl 0.3581 0.6081 0.2500  1 I 2.56
Cl 0.2259 0.9759 0.7500  1 I 2.48
Cl 0.7741 0.0241 0.2500  1 I 2.48
Cl 0.4796 0.7524 0.5718  1 P 1.95
Cl 0.1806 0.4078 0.9282  1 P 1.95
Cl 0.5204 0.5922 0.7728  1 P 1.95
Cl 0.8194 0.2476 0.7272  1 P 1.95
Cl 0.5204 0.2476 0.4282  1 P 1.95
Cl 0.8194 0.5922 0.0718  1 P 1.95
Cl 0.4796 0.4078 0.2272  1 P 1.95
Cl 0.1806 0.7524 0.2728  1 P 1.95
Cl 0.6828 0.9165 0.8905  1 P 1.96
Cl 0.0261 0.2923 0.6095  1 P 1.96
Cl 0.3172 0.7077 0.7337  1 P 1.96
Cl 0.9739 0.0835 0.7663  1 P 1.96
Cl 0.3172 0.0835 0.1095  1 P 1.96
Cl 0.9739 0.7077 0.3905  1 P 1.96
Cl 0.6828 0.2923 0.2663  1 P 1.96
Cl 0.0261 0.9165 0.2337  1 P 1.96
I 0.9474 0.6974 0.7500  4 Cl 2.50-2.51
I 0.0526 0.3026 0.2500  4 Cl 2.50-2.51
I 0.4308 0.1808 0.7500  4 Cl 2.48-2.56
I 0.5692 0.8192 0.2500  4 Cl 2.48-2.56
P 0.5000 0.7427 0.7427  4 Cl 1.95-1.96
P 0.0000 0.2573 0.7573  4 Cl 1.95-1.96
P 0.5000 0.2573 0.2573  4 Cl 1.95-1.96
P 0.0000 0.7427 0.2427  4 Cl 1.95-1.96

Computed properties:
* formation energy from raw total energies: -4.719 eV/f.u.